Here is a relaxed Rb2CrCoS4 crystal from Alexandria. Energies are from PBE.

Unit cell a=13.7199 b=12.2636 c=7.2259 alpha=85.35 beta=62.99 gamma=31.66
Fractional coordinates of all 16 atoms:
Rb: 0.0516 0.0516 0.6984
Rb: 0.3016 0.3016 0.9484
Rb: 0.6984 0.6984 0.0516
Rb: 0.9484 0.9484 0.3016
Cr: 0.1250 0.1250 0.1250
Cr: 0.8750 0.8750 0.8750
Co: 0.3750 0.3750 0.3750
Co: 0.6250 0.6250 0.6250
S: 0.0240 0.3275 0.4090
S: 0.2605 0.5910 0.6725
S: 0.3275 0.0240 0.7395
S: 0.4090 0.7395 0.0240
S: 0.5910 0.2605 0.9760
S: 0.6725 0.9760 0.2605
S: 0.7395 0.4090 0.3275
S: 0.9760 0.6725 0.5910

## Properties
Crystal system   orthorhombic
DOS at the Fermi energy   0.867 states/eV/atom
Spin magnetization   2.00 Bohr magnetons per cell
Energy   -5.27 eV per atom